PuPSe4 after structural relaxation. Source: Alexandria, functional PBE-GGA.

Structure (POSCAR):
```
PuPSe4
1.0
-2.077 5.530 -3.081
-6.287 -1.422 1.685
4.587 -0.179 3.790
Pu P Se
1 1 4
Direct
0.750 0.250 0.500
0.500 0.500 0.000
0.378 0.795 0.277
0.899 0.481 0.277
0.205 0.101 0.723
0.519 0.622 0.723
```

E_form (uncorrected)   -0.5129 eV per atom